[1]
The following is a DFT calculation (GGA-PBE) of a geometry-optimized PmSm2InC structure.

POSCAR file:
```
PmSm2InC
1.0
5.086 0.000 0.000
0.000 5.058 0.000
0.000 0.000 5.058
Pm Sm In C
1 2 1 1
Direct
0.500 0.000 0.000
0.000 0.000 0.500
0.000 0.500 0.000
0.500 0.500 0.500
0.000 0.000 0.000
```

Values from the calculation:
Raw total energy = -5.607 eV per atom
Density of states at the Fermi level = 0.39 states/eV per atom
Formation enthalpy at 0 K = -1.88 eV per formula unit



[2]
The following is a DFT calculation (GGA-PBE) of a geometry-optimized Pm2YInC structure.

POSCAR file:
```
Pm2YInC
1.0
-4.548 -1.473 1.243
1.977 -3.897 2.617
0.200 2.907 4.177
Pm Y In C
2 1 1 1
Direct
0.000 0.000 0.500
0.000 0.500 0.000
0.500 0.000 0.000
0.500 0.500 0.500
0.000 0.000 0.000
```

Values from the calculation:
Raw total energy = -5.999 eV per atom
Density of states at the Fermi level = 0.43 states/eV per atom
Formation enthalpy at 0 K = -2.07 eV per formula unit



[3]
The following is a DFT calculation (GGA-PBE) of a geometry-optimized PmY2InC structure.

POSCAR file:
```
PmY2InC
1.0
5.093 0.000 0.000
0.000 4.940 0.000
0.000 0.000 4.940
Pm Y In C
1 2 1 1
Direct
0.500 0.000 0.000
0.000 0.000 0.500
0.000 0.500 0.000
0.500 0.500 0.500
0.000 0.000 0.000
```

Values from the calculation:
Raw total energy = -6.400 eV per atom
Density of states at the Fermi level = 0.35 states/eV per atom
Formation enthalpy at 0 K = -2.36 eV per formula unit



[4]
The following is a DFT calculation (GGA-PBE) of a geometry-optimized Pr2InC structure.

POSCAR file:
```
Pr2InC
1.0
-2.446 -2.270 1.543
0.705 -1.508 3.278
-4.803 6.257 5.974
Pr C In
2 1 1
Direct
0.118 0.118 0.647
0.882 0.882 0.353
0.500 0.500 0.500
0.000 0.000 0.000
```

Values from the calculation:
Raw total energy = -5.417 eV per atom
Density of states at the Fermi level = 0.66 states/eV per atom
Formation enthalpy at 0 K = -0.15 eV per formula unit



[5]
The following is a DFT calculation (GGA-PBE) of a geometry-optimized Pr6In2C structure.

POSCAR file:
```
Pr6In2C
1.0
-5.968 -0.360 4.072
0.236 -3.189 6.489
-0.522 3.990 6.012
Pr In C
6 2 1
Direct
0.255 0.255 0.744
0.255 0.745 0.255
0.745 0.255 0.745
0.745 0.255 0.255
0.255 0.745 0.745
0.745 0.745 0.256
0.250 0.250 0.250
0.750 0.750 0.750
0.500 0.500 0.500
```

Values from the calculation:
Raw total energy = -5.121 eV per atom
Density of states at the Fermi level = 0.73 states/eV per atom
Formation enthalpy at 0 K = -2.71 eV per formula unit



[6]
The following is a DFT calculation (GGA-PBE) of a geometry-optimized Pr3InC structure.

POSCAR file:
```
Pr3InC
1.0
-0.459 4.863 -1.716
0.902 -1.620 -4.834
-5.077 -0.728 -0.704
Pr C In
3 1 1
Direct
0.000 0.500 0.000
0.000 0.000 0.500
0.500 0.000 0.000
0.000 0.000 0.000
0.500 0.500 0.500
```

Values from the calculation:
Raw total energy = -5.547 eV per atom
Density of states at the Fermi level = 0.40 states/eV per atom
Formation enthalpy at 0 K = -1.44 eV per formula unit



[7]
The following is a DFT calculation (GGA-PBE) of a geometry-optimized Pr2SmInC structure.

POSCAR file:
```
Pr2SmInC
1.0
5.065 0.000 0.000
0.000 5.175 0.000
0.000 0.000 5.175
Pr Sm In C
2 1 1 1
Direct
0.000 0.000 0.500
0.000 0.500 0.000
0.500 0.000 0.000
0.500 0.500 0.500
0.000 0.000 0.000
```

Values from the calculation:
Raw total energy = -5.564 eV per atom
Density of states at the Fermi level = 0.43 states/eV per atom
Formation enthalpy at 0 K = -1.58 eV per formula unit



[8]
The following is a DFT calculation (GGA-PBE) of a geometry-optimized Tb2PrInC structure.

POSCAR file:
```
Tb2PrInC
1.0
5.163 0.000 0.000
0.000 4.970 0.000
0.000 0.000 4.970
Tb Pr In C
2 1 1 1
Direct
0.000 0.000 0.500
0.000 0.500 0.000
0.500 0.000 0.000
0.500 0.500 0.500
0.000 0.000 0.000
```

Values from the calculation:
Raw total energy = -5.600 eV per atom
Density of states at the Fermi level = 0.43 states/eV per atom
Formation enthalpy at 0 K = -2.00 eV per formula unit



[9]
The following is a DFT calculation (GGA-PBE) of a geometry-optimized PrTh2InC structure.

POSCAR file:
```
PrTh2InC
1.0
5.236 0.000 0.000
0.000 5.065 0.000
0.000 0.000 5.065
Pr Th In C
1 2 1 1
Direct
0.500 0.000 0.000
0.000 0.000 0.500
0.000 0.500 0.000
0.500 0.500 0.500
0.000 0.000 0.000
```

Values from the calculation:
Raw total energy = -6.627 eV per atom
Density of states at the Fermi level = 0.43 states/eV per atom
Formation enthalpy at 0 K = -1.55 eV per formula unit



[10]
The following is a DFT calculation (GGA-PBE) of a geometry-optimized Pr2ThInC structure.

POSCAR file:
```
Pr2ThInC
1.0
-4.608 -1.512 -1.365
-1.129 -1.053 4.979
-1.779 4.859 0.624
Pr Th In C
2 1 1 1
Direct
0.000 0.000 0.500
0.000 0.500 0.000
0.500 0.000 0.000
0.500 0.500 0.500
0.000 0.000 0.000
```

Values from the calculation:
Raw total energy = -6.088 eV per atom
Density of states at the Fermi level = 0.75 states/eV per atom
Formation enthalpy at 0 K = -1.50 eV per formula unit



[11]
The following is a DFT calculation (GGA-PBE) of a geometry-optimized PrTm2InC structure.

POSCAR file:
```
PrTm2InC
1.0
-0.529 5.136 -0.212
-2.339 -0.416 -4.248
-4.239 -0.339 2.367
Pr Tm In C
1 2 1 1
Direct
0.500 0.000 0.000
0.000 0.000 0.500
0.000 0.500 0.000
0.500 0.500 0.500
0.000 0.000 0.000
```

Values from the calculation:
Raw total energy = -5.571 eV per atom
Density of states at the Fermi level = 0.33 states/eV per atom
Formation enthalpy at 0 K = -2.17 eV per formula unit



[12]
The following is a DFT calculation (GGA-PBE) of a geometry-optimized Pr2YInC structure.

POSCAR file:
```
Pr2YInC
1.0
-3.723 3.253 -0.088
-2.948 -3.301 2.705
1.721 2.089 4.424
Pr Y In C
2 1 1 1
Direct
0.000 0.000 0.500
0.000 0.500 0.000
0.500 0.000 0.000
0.500 0.500 0.500
0.000 0.000 0.000
```

Values from the calculation:
Raw total energy = -5.951 eV per atom
Density of states at the Fermi level = 0.49 states/eV per atom
Formation enthalpy at 0 K = -1.77 eV per formula unit